Here is a relaxed structure of Ho4HfSc5 from Alexandria. Energies are from PBE-GGA.

```
10
Lattice="-2.422 4.426 2.215 -3.638 -1.794 6.460 4.699 3.591 4.818" Properties=species:S:1:pos:R:3 pbc="T T T"
Ho 0.990 3.827 6.312
Ho -1.108 4.576 9.376
Ho 0.041 1.111 3.849
Ho -2.057 1.859 6.912
Hf -0.521 0.952 0.476
Sc 1.471 6.354 8.934
Sc -1.038 1.111 9.813
Sc -0.131 4.763 3.506
Sc -2.641 -0.480 4.385
Sc -1.684 3.077 1.540
```

The calculation puts the density of states at the Fermi level at 16.1 states/eV/cell. As for the total magnetization: 0.00 μB per atom. The formation energy is 0.23 eV/atom. As for the space group: No. 107.


Here is a relaxed structure of HoHfSc6 from Alexandria. Energies are from PBE-GGA.

```
8
Lattice="-1.204 3.751 -2.222 2.135 -2.670 -5.662 -6.008 -2.555 -1.057" Properties=species:S:1:pos:R:3 pbc="T T T"
Ho -5.592 -0.694 -2.744
Hf -1.521 -0.751 -5.046
Sc -2.588 0.583 -2.216
Sc -4.525 -2.029 -5.575
Sc 0.004 -1.382 -2.335
Sc -1.842 -3.871 -5.536
Sc -2.857 -2.600 -2.839
Sc 1.019 -2.654 -5.031
```

The value obtained for the distance to the lowest polymorph of the same formula is 27 meV/atom. The calculation puts the density of states at the Fermi level at 13.8 states/eV/cell. As for the total magnetization: 0.00 μB per atom. The formation energy is 0.06 eV/atom. As for the space group: No. 123.


Here is a relaxed structure of HoHfSc4 from Alexandria. Energies are from PBE-GGA.

```
12
Lattice="-3.789 -3.546 -2.963 -1.355 -0.110 8.291 -1.662 6.874 -3.289" Properties=species:S:1:pos:R:3 pbc="T T T"
Ho -2.358 -0.068 3.297
Ho -4.448 3.286 -1.258
Hf -3.943 5.853 4.264
Hf -2.863 -2.634 -2.225
Sc -1.583 4.982 -1.231
Sc -4.849 1.529 1.670
Sc -2.830 4.308 1.781
Sc -3.662 2.859 4.363
Sc -3.144 0.359 -2.324
Sc -3.976 -1.090 0.258
Sc -1.957 1.689 0.369
Sc -5.224 -1.764 3.270
```

The value obtained for the distance to the lowest polymorph of the same formula is 119 meV/atom. The calculation puts the density of states at the Fermi level at 21.8 states/eV/cell. As for the total magnetization: 0.00 μB per atom. The formation energy is 0.13 eV/atom. As for the space group: No. 15.